{
  "formula": "AlCuP2",
  "functional": "meta-GGA SCAN",
  "state": "single point on PBEsol structure",
  "lattice": [[3.4265, -1.7813, 0.0000], [3.4265, 1.7813, 0.0000], [-1.4172, 0.0000, 5.0255]],
  "species": ["Al", "Cu", "P", "P"],
  "fractional_positions": [[0.0000, 0.0000, 0.0000], [0.9006, 0.9006, 0.5141], [0.3532, 0.3532, 0.2169], [0.6164, 0.6164, 0.6869]],
  "final_energy_ev_per_atom": -11.088,
  "formation_energy_ev_per_atom": -0.151
}